(1)
A plane-wave DFT calculation with GGA-PBE was carried out for a relaxed NaPm2Cu3Ge4 crystal.

Values from the calculation:
D(E_F) ... 0.39 states/eV per atom
Crystal system ... tetragonal
Formation energy from the elements ... -8.45 kcal/mol of atoms
Magnetization ... 0.00 μB/cell

Cell lengths 4.262, 4.262, 10.541 Å; angles 90.00, 90.00, 90.00 degrees
Space group P-4m2 (No. 115)
Unique sites:
Na  0.000  0.000  0.000 [1 per cell]
Pm  0.000  0.500  0.734 [2 per cell]
Cu  0.000  0.500  0.379 [2 per cell]
Cu  0.500  0.500  0.000 [1 per cell]
Ge  0.000  0.000  0.500 [1 per cell]
Ge  0.000  0.500  0.153 [2 per cell]
Ge  0.500  0.500  0.500 [1 per cell]

---

(2)
A plane-wave DFT calculation with GGA-PBE was carried out for a relaxed Na2Cu3Ge4Pt crystal.

Values from the calculation:
D(E_F) ... 0.42 states/eV per atom
Crystal system ... tetragonal
Formation energy from the elements ... -3.18 kcal/mol of atoms
Magnetization ... 0.00 μB/cell

Cell lengths 4.216, 4.216, 10.233 Å; angles 90.00, 90.00, 90.00 degrees
Space group P-4m2 (No. 115)
Unique sites:
Na  0.000  0.500  0.248 [2 per cell]
Cu  0.000  0.000  0.000 [1 per cell]
Cu  0.000  0.500  0.634 [2 per cell]
Ge  0.000  0.000  0.500 [1 per cell]
Ge  0.000  0.500  0.870 [2 per cell]
Ge  0.500  0.500  0.500 [1 per cell]
Pt  0.500  0.500  0.000 [1 per cell]

---

Look up the magnetization of the first one.
0.00 μB/cell

---

What is the D(E_F) in the first record?
0.39 states/eV per atom

---

Which formula does entry 2 have?
Na2Cu3Ge4Pt

---

Please write out number 1 again, unchanged.
A plane-wave DFT calculation with GGA-PBE was carried out for a relaxed NaPm2Cu3Ge4 crystal.

Values from the calculation:
D(E_F) ... 0.39 states/eV per atom
Crystal system ... tetragonal
Formation energy from the elements ... -8.45 kcal/mol of atoms
Magnetization ... 0.00 μB/cell

Cell lengths 4.262, 4.262, 10.541 Å; angles 90.00, 90.00, 90.00 degrees
Space group P-4m2 (No. 115)
Unique sites:
Na  0.000  0.000  0.000 [1 per cell]
Pm  0.000  0.500  0.734 [2 per cell]
Cu  0.000  0.500  0.379 [2 per cell]
Cu  0.500  0.500  0.000 [1 per cell]
Ge  0.000  0.000  0.500 [1 per cell]
Ge  0.000  0.500  0.153 [2 per cell]
Ge  0.500  0.500  0.500 [1 per cell]